The following is a DFT calculation (PBE) of an optimized crystal structure of MgBeRu2.

The structure in POSCAR format:
```
MgBeRu2
1.0
3.8000 0.0000 0.0000
0.0000 3.7818 0.0000
0.0000 0.0000 3.7818
Ru Mg Be
2 1 1
Direct
0.0000 0.5000 0.5000
0.0000 0.0000 0.0000
0.5000 0.0000 0.5000
0.5000 0.5000 0.0000
```

The value obtained for the formation energy is 0.22 eV per atom. For the spin magnetization, the calculation gives 1.6 μB/cell. As for the raw total energy: -5.7493 eV/atom. The density of states at the Fermi level is 0.99 states/eV per atom.